# 1
A plane-wave DFT calculation with GGA-PBE was carried out for a relaxed structure of CsCr2S4.

Values from the calculation:
Formation energy from raw total energies: -79 kJ per mole of atoms
N(E_F): 3.56 states/eV/f.u.
Electronic total energy: -6.047 eV per atom
Space-group type: No. 12
ΔE to the lowest computed polymorph: 0.00 kcal/mol of atoms

a = 8.6021 Å, b = 8.6021 Å, c = 5.8267 Å
α = 102.74°, β = 102.74°, γ = 24.00°
Positions (direct):
Cs 0.0000 0.0000 0.0000
Cr 0.2534 0.2534 0.2686
Cr 0.7466 0.7466 0.7314
S 0.1644 0.1644 0.5302
S 0.3235 0.3235 0.9563
S 0.6765 0.6765 0.0437
S 0.8356 0.8356 0.4698

# 2
A plane-wave DFT calculation with GGA-PBE was carried out for a relaxed structure of CsCr2S4.

Values from the calculation:
Formation energy from raw total energies: -45 kJ per mole of atoms
N(E_F): 5.08 states/eV/f.u.
Electronic total energy: -5.694 eV per atom
Space-group type: No. 227
ΔE to the lowest computed polymorph: 8.15 kcal/mol of atoms

a = 7.8626 Å, b = 7.8626 Å, c = 7.8626 Å
α = 60.00°, β = 60.00°, γ = 60.00°
Positions (direct):
Cs 0.1250 0.1250 0.1250
Cs 0.8750 0.8750 0.8750
Cr 0.0000 0.5000 0.5000
Cr 0.5000 0.0000 0.5000
Cr 0.5000 0.5000 0.0000
Cr 0.5000 0.5000 0.5000
S 0.2808 0.2808 0.2808
S 0.2808 0.2808 0.6577
S 0.2808 0.6577 0.2808
S 0.3423 0.7192 0.7192
S 0.6577 0.2808 0.2808
S 0.7192 0.3423 0.7192
S 0.7192 0.7192 0.3423
S 0.7192 0.7192 0.7192

# 3
A plane-wave DFT calculation with GGA-PBE was carried out for a relaxed structure of Cs2CrSbS4.

Values from the calculation:
Formation energy from raw total energies: -68 kJ per mole of atoms
N(E_F): 1.91 states/eV/f.u.
Electronic total energy: -4.699 eV per atom
Space-group type: No. 82

a = 6.9677 Å, b = 6.9677 Å, c = 6.9677 Å
α = 112.99°, β = 112.99°, γ = 102.64°
Positions (direct):
Cs 0.0000 0.0000 0.0000
Cs 0.7500 0.2500 0.5000
Cr 0.5000 0.5000 0.0000
Sb 0.2500 0.7500 0.5000
S 0.2455 0.6036 0.0903
S 0.3964 0.4866 0.6419
S 0.5134 0.1553 0.9097
S 0.8447 0.7545 0.3581

# 4
A plane-wave DFT calculation with GGA-PBE was carried out for a relaxed structure of Cs2ScCrS4.

Values from the calculation:
Formation energy from raw total energies: -119 kJ per mole of atoms
N(E_F): 0.22 states/eV/f.u.
Electronic total energy: -5.506 eV per atom
Space-group type: No. 70

a = 14.5048 Å, b = 13.0400 Å, c = 7.7057 Å
α = 84.57°, β = 63.50°, γ = 31.93°
Positions (direct):
Cs 0.0519 0.0519 0.6981
Cs 0.3019 0.3019 0.9481
Cs 0.6981 0.6981 0.0519
Cs 0.9481 0.9481 0.3019
Sc 0.1250 0.1250 0.1250
Sc 0.8750 0.8750 0.8750
Cr 0.3750 0.3750 0.3750
Cr 0.6250 0.6250 0.6250
S 0.0049 0.6486 0.5640
S 0.2825 0.5640 0.6486
S 0.3514 0.9951 0.7175
S 0.4360 0.7175 0.9951
S 0.5640 0.2825 0.0049
S 0.6486 0.0049 0.2825
S 0.7175 0.4360 0.3514
S 0.9951 0.3514 0.4360

# 5
A plane-wave DFT calculation with GGA-PBE was carried out for a relaxed structure of CsScCrS2.

Values from the calculation:
Formation energy from raw total energies: -31 kJ per mole of atoms
N(E_F): 2.49 states/eV/f.u.
Electronic total energy: -5.338 eV per atom
Space-group type: No. 123

a = 5.0711 Å, b = 5.0711 Å, c = 5.5544 Å
α = 90.00°, β = 90.00°, γ = 90.00°
Positions (direct):
Cs 0.0000 0.0000 0.0000
Sc 0.5000 0.5000 0.5000
Cr 0.5000 0.5000 0.0000
S 0.0000 0.5000 0.5000
S 0.5000 0.0000 0.5000

# 6
A plane-wave DFT calculation with GGA-PBE was carried out for a relaxed structure of Cs2SmCrS4.

Values from the calculation:
Formation energy from raw total energies: -111 kJ per mole of atoms
N(E_F): 1.02 states/eV/f.u.
Electronic total energy: -5.224 eV per atom
Space-group type: No. 70

a = 14.7919 Å, b = 13.3440 Å, c = 7.8861 Å
α = 84.15°, β = 63.82°, γ = 32.03°
Positions (direct):
Cs 0.0548 0.0548 0.6952
Cs 0.3048 0.3048 0.9452
Cs 0.6952 0.6952 0.0548
Cs 0.9452 0.9452 0.3048
Sm 0.1250 0.1250 0.1250
Sm 0.8750 0.8750 0.8750
Cr 0.3750 0.3750 0.3750
Cr 0.6250 0.6250 0.6250
S 0.0243 0.6295 0.5406
S 0.3056 0.5406 0.6295
S 0.3705 0.9757 0.6944
S 0.4594 0.6944 0.9757
S 0.5406 0.3056 0.0243
S 0.6295 0.0243 0.3056
S 0.6944 0.4594 0.3705
S 0.9757 0.3705 0.4594

# 7
A plane-wave DFT calculation with GGA-PBE was carried out for a relaxed structure of CsSrCrS4.

Values from the calculation:
Formation energy from raw total energies: -113 kJ per mole of atoms
N(E_F): 4.75 states/eV/f.u.
Electronic total energy: -5.267 eV per atom
Space-group type: No. 11

a = 6.7489 Å, b = 6.7886 Å, c = 9.6049 Å
α = 90.00°, β = 107.78°, γ = 90.00°
Positions (direct):
Cs 0.2148 0.2500 0.4291
Cs 0.7852 0.7500 0.5709
Sr 0.2644 0.2500 0.9584
Sr 0.7356 0.7500 0.0416
Cr 0.3031 0.7500 0.1776
Cr 0.6969 0.2500 0.8224
S 0.1063 0.7500 0.3134
S 0.1289 0.7500 0.9521
S 0.4958 0.0008 0.7808
S 0.4958 0.4992 0.7808
S 0.5042 0.5008 0.2192
S 0.5042 0.9992 0.2192
S 0.8711 0.2500 0.0479
S 0.8937 0.2500 0.6866

# 8
A plane-wave DFT calculation with GGA-PBE was carried out for a relaxed structure of CsThCrS4.

Values from the calculation:
Formation energy from raw total energies: -113 kJ per mole of atoms
Electronic total energy: -6.085 eV per atom
Space-group type: No. 74

a = 8.1205 Å, b = 8.1205 Å, c = 8.1205 Å
α = 123.19°, β = 111.67°, γ = 94.78°
Positions (direct):
Cs 0.4309 0.1809 0.2500
Cs 0.5691 0.8191 0.7500
Th 0.0000 0.5000 0.5000
Th 0.5000 0.5000 0.0000
Cr 0.0000 0.0000 0.5000
Cr 0.0000 0.5000 0.0000
S 0.1661 0.7474 0.4186
S 0.1712 0.2526 0.9186
S 0.2279 0.2593 0.5315
S 0.2279 0.6964 0.9685
S 0.7721 0.3036 0.0315
S 0.7721 0.7407 0.4685
S 0.8288 0.7474 0.0814
S 0.8339 0.2526 0.5814